[1]
Material: CaNpN2
Method: DFT, PBE-GGA
State: optimized geometry

Lattice parameters (Å, degrees): 6.030 6.030 6.030 131.83 131.83 70.50
Fractional positions:
Ca  0.375  0.625  0.750
Ca  0.625  0.375  0.250
Np  0.125  0.875  0.250
Np  0.875  0.125  0.750
N  0.100  0.350  0.750
N  0.350  0.100  0.250
N  0.650  0.900  0.750
N  0.900  0.650  0.250

Its density of states at the Fermi level is 8.31 states/eV/f.u. For the energy relative to the elements, uncorrected, the calculation gives -1.13 eV per atom. The calculation puts the calculated total energy at -9.03 eV/atom.

=====

[2]
Material: Pr4Dy2ErSc
Method: DFT, PBE-GGA
State: optimized geometry

Lattice parameters (Å, degrees): 5.132 5.143 9.891 90.00 90.00 90.00
Fractional positions:
Pr  0.000  0.000  0.245
Pr  0.000  0.000  0.755
Pr  0.500  0.500  0.246
Pr  0.500  0.500  0.754
Dy  0.000  0.500  0.000
Dy  0.500  0.000  0.500
Er  0.000  0.500  0.500
Sc  0.500  0.000  0.000

Its density of states at the Fermi level is 10.29 states/eV/f.u. The calculation puts the calculated total energy at -4.87 eV/atom.

=====

[3]
Material: K2Tl2Sn
Method: DFT, PBE-GGA
State: optimized geometry

Lattice parameters (Å, degrees): 6.897 6.897 12.941 115.69 115.69 44.48
Fractional positions:
K  0.002  0.002  0.336
K  0.201  0.201  0.117
K  0.799  0.799  0.883
K  0.998  0.998  0.664
Tl  0.350  0.350  0.453
Tl  0.488  0.488  0.114
Tl  0.512  0.512  0.886
Tl  0.650  0.650  0.547
Sn  0.289  0.289  0.663
Sn  0.711  0.711  0.337

For the polymorph energy (0 for the lowest one), the calculation gives 0 meV per atom. Its density of states at the Fermi level is 2.24 states/eV/f.u. The calculation puts the calculated total energy at -2.33 eV/atom.

=====

[4]
Material: Ta3FeRu2
Method: DFT, PBE-GGA
State: optimized geometry

Lattice parameters (Å, degrees): 6.985 6.985 6.403 90.00 90.00 143.20
Fractional positions:
Ta  0.000  0.000  0.246
Ta  0.000  0.000  0.754
Ta  0.330  0.670  0.239
Ta  0.330  0.670  0.761
Ta  0.670  0.330  0.239
Ta  0.670  0.330  0.761
Fe  0.163  0.837  0.000
Fe  0.837  0.163  0.000
Ru  0.166  0.834  0.500
Ru  0.500  0.500  0.000
Ru  0.500  0.500  0.500
Ru  0.834  0.166  0.500

For the polymorph energy (0 for the lowest one), the calculation gives 0 meV per atom. Its density of states at the Fermi level is 4.53 states/eV/f.u. The calculation puts the calculated total energy at -10.70 eV/atom.

=====

[5]
Material: SrAg8Sn2
Method: DFT, PBE-GGA
State: optimized geometry

Lattice parameters (Å, degrees): 6.978 6.978 5.648 90.00 90.00 90.00
Fractional positions:
Sr  0.000  0.000  0.000
Ag  0.298  0.298  0.246
Ag  0.298  0.298  0.754
Ag  0.298  0.702  0.246
Ag  0.298  0.702  0.754
Ag  0.702  0.298  0.246
Ag  0.702  0.298  0.754
Ag  0.702  0.702  0.246
Ag  0.702  0.702  0.754
Sn  0.000  0.500  0.500
Sn  0.500  0.000  0.500

Its density of states at the Fermi level is 3.39 states/eV/f.u. The calculation puts the calculated total energy at -2.82 eV/atom.

=====

[6]
Material: AgBPt3
Method: DFT, PBE-GGA
State: optimized geometry

Lattice parameters (Å, degrees): 5.945 5.945 5.276 90.00 90.00 124.93
Fractional positions:
Ag  0.055  0.945  0.750
Ag  0.945  0.055  0.250
B  0.339  0.661  0.250
B  0.661  0.339  0.750
Pt  0.055  0.453  0.750
Pt  0.453  0.055  0.250
Pt  0.500  0.500  0.000
Pt  0.500  0.500  0.500
Pt  0.547  0.945  0.750
Pt  0.945  0.547  0.250

For the polymorph energy (0 for the lowest one), the calculation gives 194 meV per atom. Its density of states at the Fermi level is 1.90 states/eV/f.u. The calculation puts the calculated total energy at -5.56 eV/atom.

=====

[7]
Material: Pr2HoThBi4
Method: DFT, PBE-GGA
State: optimized geometry

Lattice parameters (Å, degrees): 7.927 4.595 7.960 90.00 109.48 90.00
Fractional positions:
Pr  0.000  0.000  0.000
Pr  0.500  0.500  0.000
Ho  0.000  0.500  0.500
Th  0.500  0.000  0.500
Bi  0.243  0.000  0.741
Bi  0.248  0.500  0.256
Bi  0.752  0.500  0.744
Bi  0.757  0.000  0.259

Its density of states at the Fermi level is 1.82 states/eV/f.u. The calculation puts the calculated total energy at -5.48 eV/atom.

=====

[8]
Material: Fe2CuHIr
Method: DFT, PBE-GGA
State: optimized geometry

Lattice parameters (Å, degrees): 3.752 3.752 3.811 90.00 90.00 90.00
Fractional positions:
Fe  0.000  0.500  0.000
Fe  0.500  0.000  0.000
Cu  0.000  0.000  0.500
H  0.500  0.500  0.000
Ir  0.500  0.500  0.500

For the polymorph energy (0 for the lowest one), the calculation gives 0 meV per atom. Its density of states at the Fermi level is 2.26 states/eV/f.u. The calculation puts the calculated total energy at -6.59 eV/atom.